AlReSn: optimized geometry, PBE-GGA.

Geometry as POSCAR:
```
AlReSn
1.0
0.000 3.113 3.113
3.113 0.000 3.113
3.113 3.113 0.000
Sn Re Al
1 1 1
Direct
0.750 0.750 0.750
0.000 0.000 0.000
0.250 0.250 0.250
```

Properties
* crystal system: cubic
* calculated total energy: -6.3118 eV/atom
* ΔE to the lowest computed polymorph: 0 meV per atom
* total moment: 0.00 μB/cell